1.
A plane-wave DFT calculation with PBE was carried out for a geometry-optimized CuAuCl2 structure.

Its relative energy among the computed polymorphs is 0.197 eV per atom. Its spin magnetization is 0.000 μB/atom. The density of states at the Fermi level is 0.1745 states/eV per atom.

Structure (CIF):
```
data_CuAuCl2
_chemical_formula_sum 'Cu2 Au2 Cl4'
_symmetry_space_group_name_H-M 'I m m 2'
_symmetry_Int_Tables_number 44
_cell_length_a 3.4031
_cell_length_b 3.6686
_cell_length_c 14.5074
_cell_angle_alpha 90.00
_cell_angle_beta 90.00
_cell_angle_gamma 90.00
loop_
_symmetry_equiv_pos_as_xyz
'x,y,z'
'-x,-y,z'
'-x,y,z'
'x,-y,z'
'x+1/2,y+1/2,z+1/2'
'-x+1/2,-y+1/2,z+1/2'
'-x+1/2,y+1/2,z+1/2'
'x+1/2,-y+1/2,z+1/2'
loop_
_atom_site_label
_atom_site_type_symbol
_atom_site_fract_x
_atom_site_fract_y
_atom_site_fract_z
Cu1 Cu 0.0000 0.0000 0.0000
Au1 Au 0.0000 0.5000 0.6411
Cl1 Cl 0.0000 0.0000 0.4640
Cl2 Cl 0.0000 0.5000 0.2121
```

=====

2.
A plane-wave DFT calculation with PBE was carried out for a geometry-optimized LaMo2Br structure.

Its relative energy among the computed polymorphs is 0.708 eV per atom. Its spin magnetization is 0.000 μB/atom. The density of states at the Fermi level is 1.2274 states/eV per atom.

Structure (CIF):
```
data_LaMo2Br
_chemical_formula_sum 'La2 Mo4 Br2'
_symmetry_space_group_name_H-M 'I -4 m 2'
_symmetry_Int_Tables_number 119
_symmetry_space_group_name_Hall 'I -4 -2'
_cell_length_a 5.1587
_cell_length_b 5.1587
_cell_length_c 6.1441
_cell_angle_alpha 90.00
_cell_angle_beta 90.00
_cell_angle_gamma 90.00
loop_
_atom_site_label
_atom_site_type_symbol
_atom_site_fract_x
_atom_site_fract_y
_atom_site_fract_z
La1 La 0.0000 0.0000 0.0000
Mo1 Mo 0.0000 0.0000 0.5000
Mo2 Mo 0.0000 0.5000 0.2500
Br1 Br 0.0000 0.5000 0.7500
```

=====

3.
A plane-wave DFT calculation with PBE was carried out for a geometry-optimized Gd3Mo5N12 structure.

Its spin magnetization is 1.003 μB/atom. The total energy is -10.51 eV per atom. The density of states at the Fermi level is 0.4682 states/eV per atom.

Structure (CIF):
```
data_Gd3Mo5N12
_chemical_formula_sum 'Gd24 Mo40 N96'
_symmetry_space_group_name_H-M 'I a -3 d'
_symmetry_Int_Tables_number 230
_symmetry_space_group_name_Hall '-I 4bd 2c 3'
_cell_length_a 12.8507
_cell_length_b 12.8507
_cell_length_c 12.8507
_cell_angle_alpha 90.00
_cell_angle_beta 90.00
_cell_angle_gamma 90.00
loop_
_atom_site_label
_atom_site_type_symbol
_atom_site_fract_x
_atom_site_fract_y
_atom_site_fract_z
Gd1 Gd 0.0000 0.2500 0.1250
Mo1 Mo 0.0000 0.0000 0.0000
Mo2 Mo 0.0000 0.2500 0.3750
N1 N 0.0324 0.0507 0.6491
```

=====

4.
A plane-wave DFT calculation with PBE was carried out for a geometry-optimized Nd6Rh3I2 structure.

Its spin magnetization is 0.045 μB/atom. The total energy is -5.65 eV per atom. The density of states at the Fermi level is 0.5120 states/eV per atom.

Structure (CIF):
```
data_Nd6Rh3I2
_chemical_formula_sum 'Nd12 Rh6 I4'
_symmetry_space_group_name_H-M 'C 1 2/m 1'
_symmetry_Int_Tables_number 12
_cell_length_a 7.2110
_cell_length_b 12.5066
_cell_length_c 8.4827
_cell_angle_alpha 90.00
_cell_angle_beta 106.60
_cell_angle_gamma 90.00
loop_
_symmetry_equiv_pos_as_xyz
'x,y,z'
'-x,-y,-z'
'-x,y,-z'
'x,-y,z'
'x+1/2,y+1/2,z'
'-x+1/2,-y+1/2,-z'
'-x+1/2,y+1/2,-z'
'x+1/2,-y+1/2,z'
loop_
_atom_site_label
_atom_site_type_symbol
_atom_site_fract_x
_atom_site_fract_y
_atom_site_fract_z
Nd1 Nd 0.2285 0.0000 0.1840
Nd2 Nd 0.2292 0.3333 0.1858
Rh1 Rh 0.0000 0.1685 0.0000
Rh2 Rh 0.0000 0.5000 0.0000
I1 I 0.0000 0.3338 0.5000
```

=====

5.
A plane-wave DFT calculation with PBE was carried out for a geometry-optimized MgNpCdGa structure.

Its spin magnetization is 1.042 μB/atom. The density of states at the Fermi level is 2.2036 states/eV per atom. For the energy relative to the elements, the calculation gives 58 meV per atom.

Structure (CIF):
```
data_MgNpCdGa
_chemical_formula_sum 'Mg4 Np4 Cd4 Ga4'
_symmetry_space_group_name_H-M 'F -4 3 m'
_symmetry_Int_Tables_number 216
_symmetry_space_group_name_Hall 'F -4 2 3'
_cell_length_a 7.0980
_cell_length_b 7.0980
_cell_length_c 7.0980
_cell_angle_alpha 90.00
_cell_angle_beta 90.00
_cell_angle_gamma 90.00
loop_
_atom_site_label
_atom_site_type_symbol
_atom_site_fract_x
_atom_site_fract_y
_atom_site_fract_z
Mg1 Mg 0.0000 0.0000 0.0000
Np1 Np 0.0000 0.0000 0.5000
Cd1 Cd 0.2500 0.2500 0.7500
Ga1 Ga 0.2500 0.2500 0.2500
```

=====

6.
A plane-wave DFT calculation with PBE was carried out for a geometry-optimized Dy4Cd2GaAg structure.

Its spin magnetization is 0.000 μB/atom. The density of states at the Fermi level is 0.7924 states/eV per atom. For the energy relative to the elements, the calculation gives -373 meV per atom.

Structure (CIF):
```
data_Dy4Cd2GaAg
_chemical_formula_sum 'Dy12 Cd6 Ga3 Ag3'
_symmetry_space_group_name_H-M 'R -3 m'
_symmetry_Int_Tables_number 166
_symmetry_space_group_name_Hall '-R 3 2"'
_cell_length_a 5.1923
_cell_length_b 5.1923
_cell_length_c 25.4927
_cell_angle_alpha 90.00
_cell_angle_beta 90.00
_cell_angle_gamma 120.00
loop_
_atom_site_label
_atom_site_type_symbol
_atom_site_fract_x
_atom_site_fract_y
_atom_site_fract_z
Dy1 Dy 0.0000 0.0000 0.1233
Dy2 Dy 0.0000 0.0000 0.3732
Cd1 Cd 0.0000 0.0000 0.2488
Ga1 Ga 0.0000 0.0000 0.0000
Ag1 Ag 0.0000 0.0000 0.5000
```

=====

7.
A plane-wave DFT calculation with PBE was carried out for a geometry-optimized LiSm2GePd6 structure.

Its spin magnetization is 0.000 μB/atom. The density of states at the Fermi level is 0.4746 states/eV per atom. For the energy relative to the elements, the calculation gives -608 meV per atom.

Structure (CIF):
```
data_LiSm2GePd6
_chemical_formula_sum 'Li1 Sm2 Ge1 Pd6'
_symmetry_space_group_name_H-M 'P -1'
_symmetry_Int_Tables_number 2
_cell_length_a 5.5355
_cell_length_b 6.4088
_cell_length_c 6.4620
_cell_angle_alpha 73.71
_cell_angle_beta 65.21
_cell_angle_gamma 64.71
loop_
_symmetry_equiv_pos_as_xyz
'x,y,z'
'-x,-y,-z'
loop_
_atom_site_label
_atom_site_type_symbol
_atom_site_fract_x
_atom_site_fract_y
_atom_site_fract_z
Li1 Li 0.0000 0.0000 0.0000
Sm1 Sm 0.4950 0.7562 0.2506
Ge1 Ge 0.0000 0.5000 0.5000
Pd1 Pd 0.0100 0.6852 0.7994
Pd2 Pd 0.1707 0.0724 0.5855
Pd3 Pd 0.4926 0.3116 0.2022
```

=====

8.
A plane-wave DFT calculation with PBE was carried out for a geometry-optimized Li2Zn5Ni2 structure.

Its relative energy among the computed polymorphs is 0.000 eV per atom. Its spin magnetization is 0.000 μB/atom. The density of states at the Fermi level is 0.4502 states/eV per atom. For the energy relative to the elements, the calculation gives -62 meV per atom.

Structure (CIF):
```
data_Li2Zn5Ni2
_chemical_formula_sum 'Li8 Zn20 Ni8'
_symmetry_space_group_name_H-M 'I m a 2'
_symmetry_Int_Tables_number 46
_cell_length_a 13.9038
_cell_length_b 7.6231
_cell_length_c 5.3590
_cell_angle_alpha 90.00
_cell_angle_beta 90.00
_cell_angle_gamma 90.00
loop_
_symmetry_equiv_pos_as_xyz
'x,y,z'
'-x,-y,z'
'-x+1/2,y,z'
'x+1/2,-y,z'
'x+1/2,y+1/2,z+1/2'
'-x+1/2,-y+1/2,z+1/2'
'-x,y+1/2,z+1/2'
'x,-y+1/2,z+1/2'
loop_
_atom_site_label
_atom_site_type_symbol
_atom_site_fract_x
_atom_site_fract_y
_atom_site_fract_z
Li1 Li 0.0000 0.0000 0.0000
Li2 Li 0.2500 0.0239 0.9989
Zn1 Zn 0.1062 0.2498 0.2501
Zn2 Zn 0.1242 0.7501 0.2503
Zn3 Zn 0.2500 0.0063 0.4990
Ni1 Ni 0.0828 0.5039 0.0005
```

=====

9.
A plane-wave DFT calculation with PBE was carried out for a geometry-optimized RbZnPt3 structure.

Its relative energy among the computed polymorphs is 0.000 eV per atom. Its spin magnetization is 0.000 μB/atom. The density of states at the Fermi level is 0.5017 states/eV per atom. For the energy relative to the elements, the calculation gives 475 meV per atom.

Structure (CIF):
```
data_RbZnPt3
_chemical_formula_sum 'Rb1 Zn1 Pt3'
_symmetry_space_group_name_H-M 'P m -3 m'
_symmetry_Int_Tables_number 221
_symmetry_space_group_name_Hall '-P 4 2 3'
_cell_length_a 4.8258
_cell_length_b 4.8258
_cell_length_c 4.8258
_cell_angle_alpha 90.00
_cell_angle_beta 90.00
_cell_angle_gamma 90.00
loop_
_atom_site_label
_atom_site_type_symbol
_atom_site_fract_x
_atom_site_fract_y
_atom_site_fract_z
Rb1 Rb 0.0000 0.0000 0.0000
Zn1 Zn 0.5000 0.5000 0.5000
Pt1 Pt 0.0000 0.5000 0.5000
```

=====

10.
A plane-wave DFT calculation with PBE was carried out for a geometry-optimized TbEr2ScSe6 structure.

Its spin magnetization is 0.000 μB/atom. The total energy is -5.89 eV per atom. The density of states at the Fermi level is 0.0000 states/eV per atom.

Structure (CIF):
```
data_TbEr2ScSe6
_chemical_formula_sum 'Tb3 Er6 Sc3 Se18'
_symmetry_space_group_name_H-M 'R 3'
_symmetry_Int_Tables_number 146
_symmetry_space_group_name_Hall 'R 3'
_cell_length_a 7.0765
_cell_length_b 7.0765
_cell_length_c 19.1757
_cell_angle_alpha 90.00
_cell_angle_beta 90.00
_cell_angle_gamma 120.00
loop_
_atom_site_label
_atom_site_type_symbol
_atom_site_fract_x
_atom_site_fract_y
_atom_site_fract_z
Tb1 Tb 0.0000 0.0000 0.0000
Er1 Er 0.0000 0.0000 0.3029
Er2 Er 0.0000 0.0000 0.8057
Sc1 Sc 0.0000 0.0000 0.4963
Se1 Se 0.0006 0.7006 0.4041
Se2 Se 0.0271 0.3449 0.5680
```

=====

11.
A plane-wave DFT calculation with PBE was carried out for a geometry-optimized Tb2UReC4 structure.

Its spin magnetization is 0.256 μB/atom. The density of states at the Fermi level is 0.8855 states/eV per atom. For the energy relative to the elements, the calculation gives 80 meV per atom.

Structure (CIF):
```
data_Tb2UReC4
_chemical_formula_sum 'Tb8 U4 Re4 C16'
_symmetry_space_group_name_H-M 'C m c m'
_symmetry_Int_Tables_number 63
_symmetry_space_group_name_Hall '-C 2c 2'
_cell_length_a 3.4362
_cell_length_b 11.8786
_cell_length_c 12.3038
_cell_angle_alpha 90.00
_cell_angle_beta 90.00
_cell_angle_gamma 90.00
loop_
_atom_site_label
_atom_site_type_symbol
_atom_site_fract_x
_atom_site_fract_y
_atom_site_fract_z
Tb1 Tb 0.0000 0.1312 0.0395
U1 U 0.0000 0.4024 0.2500
Re1 Re 0.0000 0.3364 0.7500
C1 C 0.0000 0.0638 0.2500
C2 C 0.0000 0.2281 0.6359
C3 C 0.0000 0.5000 0.0000
```

=====

12.
A plane-wave DFT calculation with PBE was carried out for a geometry-optimized MgBi2Pb2 structure.

Its relative energy among the computed polymorphs is 0.000 eV per atom. Its spin magnetization is 0.000 μB/atom. The density of states at the Fermi level is 0.4675 states/eV per atom. For the energy relative to the elements, the calculation gives -4 meV per atom.

Structure (CIF):
```
data_MgBi2Pb2
_chemical_formula_sum 'Mg2 Bi4 Pb4'
_symmetry_space_group_name_H-M 'P -1'
_symmetry_Int_Tables_number 2
_cell_length_a 4.6024
_cell_length_b 6.0998
_cell_length_c 11.7277
_cell_angle_alpha 89.32
_cell_angle_beta 89.92
_cell_angle_gamma 68.09
loop_
_symmetry_equiv_pos_as_xyz
'x,y,z'
'-x,-y,-z'
loop_
_atom_site_label
_atom_site_type_symbol
_atom_site_fract_x
_atom_site_fract_y
_atom_site_fract_z
Mg1 Mg 0.1520 0.2010 0.4552
Bi1 Bi 0.2506 0.9886 0.7009
Bi2 Bi 0.3426 0.7941 0.0500
Pb1 Pb 0.0688 0.3771 0.1469
Pb2 Pb 0.4596 0.5884 0.3596
```

=====

Which value of spin magnetization does entry 9 give? 0.000 μB/atom